Record 1
Computed, not measured: crystalline Pm2NpIr9 at its relaxed geometry at the PBE level of DFT.

Values from the calculation:
* magnetization: 2.8 μB per formula unit
* energy relative to the elements: -440 meV per atom

Cell: 9.372 9.372 9.372 Å, 33.04 33.04 33.04°
Fractional positions:
1 Pm 0.140 0.140 0.140
2 Pm 0.860 0.860 0.860
3 Np 0.000 0.000 0.000
4 Ir 0.083 0.580 0.580
5 Ir 0.333 0.333 0.333
6 Ir 0.420 0.420 0.917
7 Ir 0.420 0.917 0.420
8 Ir 0.500 0.500 0.500
9 Ir 0.580 0.083 0.580
10 Ir 0.580 0.580 0.083
11 Ir 0.667 0.667 0.667
12 Ir 0.917 0.420 0.420

=====

Record 2
Computed, not measured: crystalline TiGaCu at its relaxed geometry at the PBE level of DFT.

Values from the calculation:
* magnetization: 0.0 μB per formula unit
* energy relative to the elements: -235 meV per atom

Cell: 3.971 11.322 3.896 Å, 90.00 90.00 90.00°
Fractional positions:
1 Ti 0.000 0.000 0.000
2 Ti 0.000 0.500 0.500
3 Ti 0.500 0.000 0.500
4 Ti 0.500 0.500 0.000
5 Ga 0.000 0.170 0.500
6 Ga 0.000 0.830 0.500
7 Ga 0.500 0.330 0.500
8 Ga 0.500 0.670 0.500
9 Cu 0.000 0.327 0.000
10 Cu 0.000 0.673 0.000
11 Cu 0.500 0.173 0.000
12 Cu 0.500 0.827 0.000

=====

Record 3
Computed, not measured: crystalline TaMnOs2 at its relaxed geometry at the PBE level of DFT.

Values from the calculation:
* magnetization: 2.1 μB per formula unit
* energy relative to the elements: 17 meV per atom

Cell: 2.806 3.813 5.530 Å, 90.00 90.24 90.00°
Fractional positions:
1 Ta 0.000 0.000 0.000
2 Mn 0.500 0.500 0.742
3 Os 0.002 0.000 0.505
4 Os 0.500 0.500 0.271